Entry 1:
PBE PaGa3Ru, relaxed; relative energy among the computed polymorphs = 0.484 eV per formula unit; formation energy = -406 meV per atom; DFT total energy = -59.76 eV/cell; symmetry = Cmcm, No. 63; total magnetic moment = 0.000 μB per atom
1.0
-2.876 1.738 4.815
-2.544 -4.491 2.802
4.827 -0.764 3.158
Pa Ga Ru
2 6 2
direct
0.000 0.203 0.052
0.560 0.763 0.552
0.093 0.296 0.552
0.480 0.283 0.802
0.080 0.683 0.302
0.080 0.683 0.802
0.480 0.283 0.302
0.467 0.670 0.052
0.840 0.042 0.552
0.721 0.923 0.052

---

Entry 2:
PBE KMgFeIr2, relaxed; formation energy = 1454 meV per atom; DFT total energy = -21.61 eV/cell; symmetry = P4/mmm, No. 123; total magnetic moment = 0.845 μB per atom
1.0
4.765 0.000 0.000
0.000 4.802 0.000
0.000 0.000 4.765
Mg Ir Fe K
1 2 1 1
direct
0.000 0.000 0.000
0.500 0.000 0.000
0.000 0.000 0.500
0.000 0.500 0.000
0.500 0.500 0.500

---

Entry 3:
PBE Cd2InPt2, relaxed; relative energy among the computed polymorphs = 0.115 eV per formula unit; formation energy = -316 meV per atom; DFT total energy = -36.46 eV/cell; symmetry = P4/mbm, No. 127; total magnetic moment = 0.000 μB per atom
1.0
-5.137 4.577 -1.631
-2.613 -4.603 -4.688
-2.300 -1.574 2.827
Pt In Cd
4 2 4
direct
0.858 0.642 0.000
0.642 0.142 0.000
0.358 0.858 0.000
0.142 0.358 0.000
0.000 0.000 0.000
0.500 0.500 0.000
0.656 0.844 0.500
0.844 0.344 0.500
0.156 0.656 0.500
0.344 0.156 0.500

---

Entry 4:
PBE Cu3SbPd5, relaxed; DFT total energy = -82.35 eV/cell; symmetry = C2/m, No. 12; total magnetic moment = 0.000 μB per atom
1.0
5.342 -0.483 -0.405
0.998 5.270 -0.405
1.747 1.319 10.470
Pd Cu Sb
10 6 2
direct
0.276 0.276 0.880
0.020 0.588 0.668
0.525 0.525 0.701
0.588 0.020 0.668
0.475 0.475 0.299
0.980 0.412 0.332
0.412 0.980 0.332
0.320 0.680 0.000
0.724 0.724 0.120
0.680 0.320 0.000
0.749 0.749 0.872
0.321 0.321 0.515
0.000 0.000 0.500
0.251 0.251 0.128
0.679 0.679 0.485
0.000 0.000 0.000
0.940 0.940 0.273
0.060 0.060 0.727

---

Entry 5:
PBE Ce3PuZr2N6, relaxed; DFT total energy = -117.85 eV/cell; symmetry = C2/m, No. 12; total magnetic moment = 0.421 μB per atom
1.0
5.926 -0.002 0.001
-2.963 5.132 0.001
-0.987 -1.709 5.690
N Ce Zr Pu
6 3 2 1
direct
0.582 0.924 0.772
0.924 0.582 0.772
0.267 0.267 0.774
0.076 0.418 0.228
0.418 0.076 0.228
0.733 0.733 0.226
0.166 0.834 0.500
0.500 0.500 0.500
0.834 0.166 0.500
0.333 0.667 0.000
0.667 0.333 0.000
0.000 0.000 0.000

---

Which of these has the highest total magnetic moment?
KMgFeIr2

---

total magnetic moment of number 1 (PaGa3Ru)?
0.000 μB per atom